Here is Ba2ReTe after structural relaxation from Alexandria via LeMat-Bulk. Energies are from PBE.

Computed properties:
- Total moment: 0.751 μB/atom
- VASP energy: -17.780 eV/cell
- Formation energy from raw total energies: 0.414 eV per atom

Cell: 6.7122 6.7122 6.7122 Å, 137.46 137.46 61.73°
With the nearest neighbours (Å) after each atom.
Fractional positions:
1 Re 0.5000 0.5000 0.0000  8 Ba 3.44-3.77, 4 Te 3.77
2 Ba 0.0000 0.0000 0.0000  4 Re 3.44, 4 Ba 3.77, 4 Te 3.77
3 Te 0.7500 0.2500 0.5000  8 Ba 3.44-3.77, 4 Re 3.77
4 Ba 0.2500 0.7500 0.5000  4 Te 3.44, 4 Ba 3.77, 4 Re 3.77

***

Here is BaRe2Te after structural relaxation from Alexandria via LeMat-Bulk. Energies are from PBE.

Computed properties:
- Total moment: 0.000 μB/atom
- VASP energy: -25.267 eV/cell
- Formation energy from raw total energies: 1.173 eV per atom

Cell: 3.3327 3.3327 8.2013 Å, 90.00 90.00 90.00°
With the nearest neighbours (Å) after each atom.
Fractional positions:
1 Re 0.0000 0.0000 0.0785  4 Te 2.74, 1 Re 2.81
2 Te 0.5000 0.5000 0.2500  8 Re 2.74
3 Ba 0.5000 0.5000 0.7500  4 Ba 3.33, 8 Re 3.58
4 Re 0.0000 0.0000 0.4215  4 Te 2.74, 1 Re 2.81

***

Which of these has the highest total moment? Ba2ReTe